## Y2MnOs (GGA-PBE)

Data for an optimized crystal structure of Y2MnOs.

## Properties
Offset from the most stable computed form = 0 meV per atom
Formation energy = -0.0414 eV per atom

CIF file:
```
data_Y2MnOs
_chemical_formula_sum 'Y6 Mn3 Os3'
_space_group_name_H-M_alt 'R 3 m'
_space_group_IT_number 160
_space_group_name_Hall 'R 3 -2"'
_cell_length_a 3.9362
_cell_length_b 3.9362
_cell_length_c 22.2529
_cell_angle_alpha 90.00
_cell_angle_beta 90.00
_cell_angle_gamma 120.00
loop_
_atom_site_label
_atom_site_type_symbol
_atom_site_fract_x
_atom_site_fract_y
_atom_site_fract_z
Y1 Y 0.0000 0.0000 0.0000
Y2 Y 0.0000 0.0000 0.1851
Mn1 Mn 0.0000 0.0000 0.4349
Os1 Os 0.0000 0.0000 0.7516
```